Arrangement a

# PBE TiTcW, relaxed
# Magnetic moment: 0.0 μB/f.u.
data_TiTcW
_chemical_formula_sum 'Ti4 Tc4 W4'
_cell_length_a 6.231
_cell_length_b 3.129
_cell_length_c 9.518
_cell_angle_alpha 90.00
_cell_angle_beta 90.00
_cell_angle_gamma 90.00
_space_group_name_H-M_alt 'P n m a'
_space_group_IT_number 62
loop_
_space_group_symop_operation_xyz
'x,y,z'
'-x,-y,-z'
'-x+1/2,-y,z+1/2'
'x+1/2,y,-z+1/2'
'x+1/2,-y+1/2,-z+1/2'
'-x+1/2,y+1/2,z+1/2'
'-x,y+1/2,-z'
'x,-y+1/2,z'
loop_
_atom_site_label
_atom_site_fract_x
_atom_site_fract_y
_atom_site_fract_z
_atom_site_occupancy
Ti1 0.124 0.250 0.092 1
Tc1 0.127 0.250 0.750 1
W1 0.124 0.250 0.416 1


Arrangement b

# PBE TiTcW, relaxed
# Magnetic moment: 0.0 μB/f.u.
data_TiTcW
_chemical_formula_sum 'Ti2 Tc2 W2'
_cell_length_a 4.3951
_cell_length_b 4.3951
_cell_length_c 5.5259
_cell_angle_alpha 90.00
_cell_angle_beta 90.00
_cell_angle_gamma 120.00
_space_group_name_H-M_alt 'P -3 m 1'
_space_group_IT_number 164
_space_group_name_Hall '-P 3 2"'
loop_
_atom_site_label
_atom_site_fract_x
_atom_site_fract_y
_atom_site_fract_z
_atom_site_occupancy
Ti1 0.0000 0.0000 0.0000 1
Ti2 0.0000 0.0000 0.5000 1
Tc1 0.3333 0.6667 0.1704 1
W1 0.3333 0.6667 0.6706 1


On energetic grounds, arrangement a is preferred over the next structure by 65 meV/atom.


Arrangement a

# PBE YMnAs2, relaxed
# Magnetic moment: 4.0 μB/f.u.
data_YMnAs2
_chemical_formula_sum 'Y4 Mn4 As8'
_cell_length_a 5.716
_cell_length_b 5.716
_cell_length_c 13.440
_cell_angle_alpha 90.00
_cell_angle_beta 90.00
_cell_angle_gamma 90.00
_space_group_name_H-M_alt 'I -4 2 d'
_space_group_IT_number 122
_space_group_name_Hall 'I -4 2bw'
loop_
_atom_site_label
_atom_site_fract_x
_atom_site_fract_y
_atom_site_fract_z
_atom_site_occupancy
Y1 0.000 0.000 0.000 1
Mn1 0.000 0.000 0.500 1
As1 0.192 0.250 0.625 1


Arrangement b

# PBE YMnAs2, relaxed
# Magnetic moment: 3.9 μB/f.u.
data_YMnAs2
_chemical_formula_sum 'Y2 Mn2 As4'
_cell_length_a 6.205
_cell_length_b 6.996
_cell_length_c 3.667
_cell_angle_alpha 90.00
_cell_angle_beta 93.67
_cell_angle_gamma 90.00
_space_group_name_H-M_alt 'C 1 2/m 1'
_space_group_IT_number 12
loop_
_space_group_symop_operation_xyz
'x,y,z'
'-x,-y,-z'
'-x,y,-z'
'x,-y,z'
'x+1/2,y+1/2,z'
'-x+1/2,-y+1/2,-z'
'-x+1/2,y+1/2,-z'
'x+1/2,-y+1/2,z'
loop_
_atom_site_label
_atom_site_fract_x
_atom_site_fract_y
_atom_site_fract_z
_atom_site_occupancy
Y1 0.000 0.000 0.000 1
Mn1 0.000 0.500 0.000 1
As1 0.250 0.250 0.500 1


On energetic grounds, arrangement b is preferred over the next structure by 119 meV/atom.